No. 1
## PuZnAu4 (PBE-GGA)

Data for a relaxed structure of PuZnAu4.

It has space group P4/mmm (No. 123), with a = 4.164 Å, b = 4.164 Å, c = 7.780 Å, α = 90.00°, β = 90.00° and γ = 90.00°. The inequivalent atoms are Pu at (0.000, 0.000, 0.000), Zn at (0.500, 0.500, 0.500) and Au at (0.000, 0.500, 0.288).

As for the energy relative to the elements: -0.13 eV/atom. For the energy above the lowest structure with this stoichiometry, the calculation gives 0.0671 eV/atom. The magnetic moment comes out at 5.6 μB per formula unit.

No. 2
## Pu3Zn2Au4 (PBE-GGA)

Data for a relaxed structure of Pu3Zn2Au4.

It has space group C2/m (No. 12), with a = 10.389 Å, b = 4.850 Å, c = 8.917 Å, α = 90.00°, β = 124.45° and γ = 90.00°. The inequivalent atoms are Pu at (0.000, 0.000, 0.000), Pu at (0.163, 0.500, 0.668), Zn at (0.115, 0.500, 0.284), Au at (0.065, 0.000, 0.390) and Au at (0.213, 0.500, 0.058).

As for the energy relative to the elements: -0.44 eV/atom. The magnetic moment comes out at 17.2 μB per formula unit.